Entry 1:
Crystalline Dy5HgRu2 at its relaxed geometry, computed with PBE.

Lattice parameters (Å, degrees): 7.737 7.737 8.619 116.67 116.67 90.00
Positions (direct):
Hg: 0.750 0.750 0.500
Hg: 0.250 0.250 0.500
Dy: 0.525 0.707 0.732
Dy: 0.000 0.000 0.000
Dy: 0.475 0.293 0.268
Dy: 0.707 0.207 0.732
Dy: 0.793 0.975 0.268
Dy: 0.025 0.525 0.732
Dy: 0.975 0.475 0.268
Dy: 0.207 0.025 0.732
Dy: 0.500 0.500 0.000
Dy: 0.293 0.793 0.268
Ru: 0.858 0.642 0.000
Ru: 0.142 0.358 0.000
Ru: 0.642 0.142 0.000
Ru: 0.358 0.858 0.000

## Properties
As for the crystal system: tetragonal. Its space-group type is I4/mcm, No. 140.

---

Entry 2:
Crystalline Dy5HgRu at its relaxed geometry, computed with PBE.

Lattice parameters (Å, degrees): 5.935 5.935 11.771 77.28 77.28 76.22
Positions (direct):
Dy: 0.790 0.453 0.437
Dy: 0.453 0.790 0.937
Dy: 0.006 0.994 0.250
Dy: 0.918 0.584 0.126
Dy: 0.584 0.918 0.626
Dy: 0.210 0.547 0.563
Dy: 0.416 0.082 0.374
Dy: 0.082 0.416 0.874
Dy: 0.994 0.006 0.750
Dy: 0.547 0.210 0.063
Hg: 0.583 0.417 0.750
Hg: 0.417 0.583 0.250
Ru: 0.000 0.000 0.000
Ru: 0.000 0.000 0.500

## Properties
As for the crystal system: monoclinic. Its space-group type is C2/c, No. 15.

---

Entry 3:
Crystalline Dy8Hg2Ru at its relaxed geometry, computed with PBE.

Lattice parameters (Å, degrees): 5.273 6.881 9.169 108.11 106.71 90.00
Positions (direct):
Dy: 0.803 0.703 0.605
Dy: 0.410 0.574 0.820
Dy: 0.347 0.044 0.693
Dy: 0.197 0.297 0.395
Dy: 0.977 0.212 0.954
Dy: 0.653 0.956 0.307
Dy: 0.590 0.426 0.180
Dy: 0.023 0.788 0.046
Hg: 0.816 0.286 0.632
Hg: 0.184 0.714 0.368
Ru: 0.500 0.000 0.000

## Properties
As for the crystal system: monoclinic. Its space-group type is C2/m, No. 12.

---

Number 1: calculated volume 398.7 Å³/cell, formation energy from the elements -3.36 eV/f.u.. Number 2: calculated volume 386.6 Å³/cell, formation energy from the elements -1.29 eV/f.u.. Number 3: calculated volume 301.4 Å³/cell, formation energy from the elements -2.97 eV/f.u..